# Zr3MnMo

A relaxed structure of Zr3MnMo (PBE, Alexandria via LeMat-Bulk).

Computed properties:
- Total moment: 0.80 μB per formula unit
- Energy of formation: 0.71 eV per atom
- Energy relative to the lowest polymorph listed for this composition: 0.0 meV/atom
- Theoretical density: 6.58 Mg/m³
- Uncorrected energy: -8.424 eV per atom

Geometry as CIF:
```
data_Zr3MnMo
_chemical_formula_sum 'Zr3 Mn1 Mo1'
_space_group_name_H-M_alt 'P m -3 m'
_space_group_IT_number 221
_space_group_name_Hall '-P 4 2 3'
_cell_length_a 4.751
_cell_length_b 4.751
_cell_length_c 4.751
_cell_angle_alpha 90.00
_cell_angle_beta 90.00
_cell_angle_gamma 90.00
loop_
_atom_site_label
_atom_site_fract_x
_atom_site_fract_y
_atom_site_fract_z
Zr1 0.000 0.000 0.500
Mn1 0.000 0.000 0.000
Mo1 0.500 0.500 0.500
```